[1]
A plane-wave DFT calculation with PBE-GGA was carried out for crystalline KSrLi2Ni at its relaxed geometry.

Values from the calculation:
* size of the total moment: 0.0000 μB per atom
* SG: P4/mmm
* crystal system: tetragonal

Unit cell a=5.377 b=5.377 c=5.497 alpha=90.00 beta=90.00 gamma=90.00
Fractional positions:
K1 0.000 0.000 0.000
Sr1 0.500 0.500 0.000
Li1 0.000 0.500 0.500
Li2 0.500 0.000 0.500
Ni1 0.500 0.500 0.500

***

[2]
A plane-wave DFT calculation with PBE-GGA was carried out for crystalline K2SrLiNi at its relaxed geometry.

Values from the calculation:
* size of the total moment: 0.0000 μB per atom
* SG: P4/mmm
* crystal system: tetragonal

Unit cell a=6.239 b=6.239 c=5.750 alpha=90.00 beta=90.00 gamma=90.00
Fractional positions:
K1 0.000 0.500 0.000
K2 0.500 0.000 0.000
Sr1 0.000 0.000 0.500
Li1 0.500 0.500 0.500
Ni1 0.000 0.000 0.000

***

[3]
A plane-wave DFT calculation with PBE-GGA was carried out for crystalline KSr2LiNi at its relaxed geometry.

Values from the calculation:
* size of the total moment: 0.0000 μB per atom
* SG: P4/mmm
* crystal system: tetragonal

Unit cell a=5.905 b=5.905 c=5.472 alpha=90.00 beta=90.00 gamma=90.00
Fractional positions:
K1 0.000 0.000 0.000
Sr1 0.000 0.500 0.500
Sr2 0.500 0.000 0.500
Li1 0.500 0.500 0.000
Ni1 0.500 0.500 0.500

***

[4]
A plane-wave DFT calculation with PBE-GGA was carried out for crystalline KLiTl2Ni at its relaxed geometry.

Values from the calculation:
* size of the total moment: 0.0000 μB per atom
* SG: P4/mmm
* crystal system: tetragonal

Unit cell a=5.102 b=5.102 c=5.215 alpha=90.00 beta=90.00 gamma=90.00
Fractional positions:
K1 0.000 0.000 0.000
Li1 0.500 0.500 0.000
Tl1 0.000 0.500 0.500
Tl2 0.500 0.000 0.500
Ni1 0.500 0.500 0.500

***

Respective total DFT energy (no corrections) values: -11.17 -9.60 -11.40 -13.54 eV per cell.